Entry one
Density functional theory data (PBE-GGA) for a geometry-optimized PrHoAgAu structure.

Geometry as extended XYZ:
```
4
Lattice="3.639 0.000 0.000 0.000 3.639 0.000 0.000 0.000 7.513" Properties=species:S:1:pos:R:3 pbc="T T T"
Pr 0.000 0.000 0.000
Ho 0.000 0.000 3.671
Ag 1.819 1.819 5.413
Au 1.819 1.819 2.049
```

As for the density of states at the Fermi level: 1.808 states/eV/f.u.


Entry two
Density functional theory data (PBE-GGA) for a geometry-optimized PrHoAgAu structure.

Geometry as extended XYZ:
```
4
Lattice="0.000 3.684 3.684 3.684 0.000 3.684 3.684 3.684 0.000" Properties=species:S:1:pos:R:3 pbc="T T T"
Pr 0.000 0.000 0.000
Ho 3.684 3.684 3.684
Ag 5.527 5.527 5.527
Au 1.842 1.842 1.842
```

As for the density of states at the Fermi level: 4.038 states/eV/f.u.


Most stable structure: entry one


Entry one
Density functional theory data (PBE-GGA) for a geometry-optimized Ag2Au2I structure.

Geometry as extended XYZ:
```
5
Lattice="-2.051 2.051 6.748 2.051 -2.051 6.748 2.051 2.051 -6.748" Properties=species:S:1:pos:R:3 pbc="T T T"
Ag 2.051 0.000 3.374
Ag 0.000 2.051 3.374
Au 0.000 0.000 1.412
Au 0.000 0.000 12.084
I 0.000 0.000 6.748
```

As for the density of states at the Fermi level: 2.147 states/eV/f.u.


Entry two
Density functional theory data (PBE-GGA) for a geometry-optimized Ag2Au2I structure.

Geometry as extended XYZ:
```
5
Lattice="-1.977 1.977 7.275 1.977 -1.977 7.275 1.977 1.977 -7.275" Properties=species:S:1:pos:R:3 pbc="T T T"
Ag 0.000 0.000 1.497
Ag 0.000 0.000 13.053
Au 1.977 0.000 3.638
Au 0.000 1.977 3.638
I 0.000 0.000 7.275
```

As for the density of states at the Fermi level: 1.351 states/eV/f.u.


Entry three
Density functional theory data (PBE-GGA) for a geometry-optimized Ag2Au2I structure.

Geometry as extended XYZ:
```
10
Lattice="7.685 0.000 0.000 0.000 7.685 0.000 0.000 0.000 3.678" Properties=species:S:1:pos:R:3 pbc="T T T"
Ag 1.217 2.626 0.000
Ag 2.626 6.468 0.000
Ag 5.059 1.217 0.000
Ag 6.468 5.059 0.000
Au 1.015 4.857 1.839
Au 2.827 1.015 1.839
Au 4.857 6.670 1.839
Au 6.670 2.827 1.839
I 0.000 0.000 1.839
I 3.842 3.842 1.839
```

As for the density of states at the Fermi level: 2.180 states/eV/f.u.


Most stable structure: entry two


Entry one
Density functional theory data (PBE-GGA) for a geometry-optimized AgAu2I2 structure.

Geometry as extended XYZ:
```
10
Lattice="7.726 0.000 0.000 0.000 7.726 0.000 0.000 0.000 4.289" Properties=species:S:1:pos:R:3 pbc="T T T"
Ag 0.000 0.000 0.000
Ag 3.863 3.863 0.000
Au 0.975 2.888 0.000
Au 2.888 6.751 0.000
Au 4.838 0.975 0.000
Au 6.751 4.838 0.000
I 1.521 5.384 2.145
I 2.342 1.521 2.145
I 5.384 6.205 2.145
I 6.205 2.342 2.145
```

As for the density of states at the Fermi level: 1.307 states/eV/f.u.


Entry two
Density functional theory data (PBE-GGA) for a geometry-optimized AgAu2I2 structure.

Geometry as extended XYZ:
```
5
Lattice="-2.388 2.388 6.489 2.388 -2.388 6.489 2.388 2.388 -6.489" Properties=species:S:1:pos:R:3 pbc="T T T"
Ag 0.000 0.000 0.000
Au 0.000 0.000 5.193
Au 0.000 0.000 7.786
I 2.388 0.000 3.245
I 0.000 2.388 3.245
```

As for the density of states at the Fermi level: 2.520 states/eV/f.u.


Most stable structure: entry one


Entry one
Density functional theory data (PBE-GGA) for a geometry-optimized AgAuI3 structure.

Geometry as extended XYZ:
```
5
Lattice="5.676 0.000 0.000 0.000 5.676 0.000 0.000 0.000 5.676" Properties=species:S:1:pos:R:3 pbc="T T T"
Ag 0.000 0.000 0.000
Au 2.838 2.838 2.838
I 0.000 2.838 2.838
I 2.838 0.000 2.838
I 2.838 2.838 0.000
```

As for the density of states at the Fermi level: 1.457 states/eV/f.u.


Entry two
Density functional theory data (PBE-GGA) for a geometry-optimized AgAuI3 structure.

Geometry as extended XYZ:
```
10
Lattice="9.107 -2.091 0.000 9.107 2.091 0.000 -4.060 0.000 10.129" Properties=species:S:1:pos:R:3 pbc="T T T"
Ag -0.463 0.000 3.448
Ag 14.617 0.000 6.682
Au 6.801 0.000 0.289
Au 7.354 0.000 9.841
I -1.157 0.000 8.051
I 1.767 0.000 1.496
I 4.665 0.000 5.084
I 9.489 0.000 5.046
I 12.388 0.000 8.634
I 15.312 0.000 2.079
```

As for the density of states at the Fermi level: 4.236 states/eV/f.u.


Most stable structure: entry two


Entry one
Density functional theory data (PBE-GGA) for a geometry-optimized AgAu2I8 structure.

Geometry as extended XYZ:
```
11
Lattice="7.700 0.000 0.000 3.504 7.821 0.000 3.476 0.898 8.263" Properties=species:S:1:pos:R:3 pbc="T T T"
Ag 0.000 0.000 0.000
Au 3.719 5.224 1.708
Au 10.961 3.495 6.556
I 3.073 1.162 5.416
I 3.093 3.053 0.420
I 6.224 5.042 3.601
I 9.273 7.503 7.014
I 5.407 1.216 1.250
I 8.455 3.677 4.663
I 11.586 5.666 7.844
I 11.607 7.557 2.847
```

As for the density of states at the Fermi level: 3.456 states/eV/f.u.


Entry two
Density functional theory data (PBE-GGA) for a geometry-optimized AgAu2I8 structure.

Geometry as extended XYZ:
```
11
Lattice="6.566 -5.032 0.000 6.566 5.032 0.000 -1.089 0.000 7.159" Properties=species:S:1:pos:R:3 pbc="T T T"
Ag 0.000 0.000 0.000
Au 1.996 0.000 4.407
Au 10.048 0.000 2.752
I 5.014 3.183 1.436
I 7.030 3.183 5.722
I 3.591 0.000 2.380
I 4.580 0.000 6.060
I 7.463 0.000 1.099
I 8.452 0.000 4.778
I 5.014 -3.183 1.436
I 7.030 -3.183 5.722
```

As for the density of states at the Fermi level: 9.706 states/eV/f.u.


Most stable structure: entry one


Entry one
Density functional theory data (PBE-GGA) for a geometry-optimized Ag2AuI structure.

Geometry as extended XYZ:
```
8
Lattice="-3.160 3.160 6.647 3.160 -3.160 6.647 3.160 3.160 -6.647" Properties=species:S:1:pos:R:3 pbc="T T T"
Ag 4.740 1.493 -1.662
Ag 1.493 1.580 1.662
Ag -1.580 1.667 4.985
Ag 1.667 1.580 8.309
Au 0.000 0.000 0.000
Au 0.000 3.160 3.324
I 3.160 0.000 3.324
I 0.000 0.000 6.647
```

As for the density of states at the Fermi level: 0.000 states/eV/f.u.


Entry two
Density functional theory data (PBE-GGA) for a geometry-optimized Ag2AuI structure.

Geometry as extended XYZ:
```
4
Lattice="0.000 3.550 3.550 3.550 0.000 3.550 3.550 3.550 0.000" Properties=species:S:1:pos:R:3 pbc="T T T"
Ag 1.775 1.775 1.775
Ag 5.325 5.325 5.325
Au 0.000 0.000 0.000
I 3.550 3.550 3.550
```

As for the density of states at the Fermi level: 0.048 states/eV/f.u.


Entry three
Density functional theory data (PBE-GGA) for a geometry-optimized Ag2AuI structure.

Geometry as extended XYZ:
```
4
Lattice="1.655 0.955 9.945 -1.655 0.955 9.945 0.000 -1.911 9.945" Properties=species:S:1:pos:R:3 pbc="T T T"
Ag 0.000 0.000 2.876
Ag 0.000 0.000 26.958
Au 0.000 0.000 14.917
I 0.000 0.000 0.000
```

As for the density of states at the Fermi level: 1.222 states/eV/f.u.


Most stable structure: entry one


Entry one
Density functional theory data (PBE-GGA) for a geometry-optimized Ag2AuI3 structure.

Geometry as extended XYZ:
```
6
Lattice="-2.333 6.986 3.292 2.333 -6.986 3.292 2.333 6.986 -3.292" Properties=species:S:1:pos:R:3 pbc="T T T"
Ag 0.000 2.336 0.000
Ag 0.000 11.636 0.000
Au 0.000 6.986 0.049
I 2.333 -2.297 1.662
I 2.333 2.297 1.662
I 0.000 0.000 4.910
```


Entry two
Density functional theory data (PBE-GGA) for a geometry-optimized Ag2AuI3 structure.

Geometry as extended XYZ:
```
12
Lattice="7.559 0.000 0.000 3.449 8.118 0.000 2.538 3.397 7.773" Properties=species:S:1:pos:R:3 pbc="T T T"
Ag 2.548 2.678 0.448
Ag 7.997 11.164 7.758
Ag 5.549 0.351 0.015
Ag 10.998 8.837 7.325
Au 3.696 5.428 0.386
Au 9.851 6.087 7.387
I 5.886 10.198 5.952
I 3.874 3.982 2.540
I 6.145 4.763 6.005
I 7.401 6.752 1.768
I 9.673 7.533 5.233
I 7.660 1.317 1.821
```

As for the density of states at the Fermi level: 0.000 states/eV/f.u.


Most stable structure: entry two


Entry one
Density functional theory data (PBE-GGA) for a geometry-optimized AgAuI2 structure.

Geometry as extended XYZ:
```
4
Lattice="2.291 1.323 8.275 -2.291 1.323 8.275 0.000 -2.645 8.275" Properties=species:S:1:pos:R:3 pbc="T T T"
Ag 0.000 0.000 0.000
Au 0.000 0.000 12.413
I 0.000 0.000 9.829
I 0.000 0.000 14.997
```


Entry two
Density functional theory data (PBE-GGA) for a geometry-optimized AgAuI2 structure.

Geometry as extended XYZ:
```
8
Lattice="-3.286 3.286 6.573 3.286 -3.286 6.573 3.286 3.286 -6.573" Properties=species:S:1:pos:R:3 pbc="T T T"
Ag 0.000 0.000 0.000
Ag 0.000 3.286 3.287
Au 3.286 0.000 3.287
Au 0.000 0.000 6.573
I 1.643 -1.608 4.930
I 1.678 1.643 1.643
I 1.643 4.893 -1.643
I 1.608 1.643 8.216
```

As for the density of states at the Fermi level: 0.000 states/eV/f.u.


Entry three
Density functional theory data (PBE-GGA) for a geometry-optimized AgAuI2 structure.

Geometry as extended XYZ:
```
4
Lattice="7.292 -2.106 0.000 7.292 2.106 0.000 -0.268 0.000 4.766" Properties=species:S:1:pos:R:3 pbc="T T T"
Ag 0.000 0.000 0.000
Au 7.158 0.000 2.383
I 5.024 0.000 3.882
I 9.291 0.000 0.884
```

As for the density of states at the Fermi level: 0.000 states/eV/f.u.


Entry four
Density functional theory data (PBE-GGA) for a geometry-optimized AgAuI2 structure.

Geometry as extended XYZ:
```
4
Lattice="0.000 3.815 3.815 3.815 0.000 3.815 3.815 3.815 0.000" Properties=species:S:1:pos:R:3 pbc="T T T"
Ag 0.000 0.000 0.000
Au 3.815 3.815 3.815
I 1.907 1.907 1.907
I 5.722 5.722 5.722
```

As for the density of states at the Fermi level: 1.496 states/eV/f.u.


Most stable structure: entry three